(1)
The following is a GGA-PBE calculation of a relaxed structure of K2YZnO4, from Alexandria.

Unit cell a=5.962 b=5.567 c=5.567 alpha=73.34 beta=57.62 gamma=57.62
Each line ends with the local moment (μB).
Element x y z (fractional)
K1 0.000 0.500 0.500  0.00
K2 0.500 0.500 0.500  0.00
Y1 0.000 0.000 0.000  -0.02
Zn1 0.500 0.000 0.000  0.09
O1 0.117 0.311 0.000  0.20
O2 0.883 0.000 0.689  0.20
O3 0.571 0.000 0.311  0.20
O4 0.429 0.689 0.000  0.20

## Properties
Theoretical density = 3737 kg/m³
D(E_F) = 0.56 states/eV/atom
Volume = 132 Å³ per cell
Total energy = -0.1984 Ha/atom

=====

(2)
The following is a GGA-PBE calculation of a relaxed structure of KZn6O6, from Alexandria.

Unit cell a=5.780 b=5.780 c=5.780 alpha=90.00 beta=90.00 gamma=90.00
Element x y z (fractional)
K1 0.000 0.000 0.000
Zn1 0.260 0.500 0.000
Zn2 0.740 0.500 0.000
Zn3 0.500 0.000 0.260
Zn4 0.500 0.000 0.740
Zn5 0.000 0.260 0.500
Zn6 0.000 0.740 0.500
O1 0.242 0.000 0.500
O2 0.758 0.000 0.500
O3 0.000 0.500 0.242
O4 0.000 0.500 0.758
O5 0.500 0.242 0.000
O6 0.500 0.758 0.000

## Properties
Theoretical density = 4537 kg/m³
D(E_F) = 0.04 states/eV/atom
Volume = 193 Å³ per cell
Total energy = -0.1553 Ha/atom